# 1
Computed, not measured: a relaxed structure of LiEuThRu at the PBE level of DFT.

Cell: 5.054 5.054 5.054 Å, 60.00 60.00 60.00°
Fractional coordinates of all 4 atoms:
Eu 0.000 0.000 0.000
Ru 0.250 0.250 0.250
Th 0.500 0.500 0.500
Li 0.750 0.750 0.750

Output
D(E_F) ... 0.5847 states/eV/atom
DFT formation energy ... -0.05 eV/atom
SG ... F-43m, No. 216
Crystal system ... cubic
M_tot ... 7.0 μB/f.u.
VASP energy ... -7.27 eV/atom

=====

# 2
Computed, not measured: a relaxed structure of LaCoAg2 at the PBE level of DFT.

Cell: 3.358 3.358 7.226 Å, 90.00 90.00 90.01°
Fractional coordinates of all 4 atoms:
Ag 0.000 0.000 0.442
Ag 0.000 0.000 0.058
La 0.500 0.500 0.750
Co 0.500 0.500 0.250

Output
D(E_F) ... 1.7780 states/eV/atom
DFT formation energy ... 0.24 eV/atom
SG ... P4/mmm, No. 123
Crystal system ... tetragonal
M_tot ... 1.7 μB/f.u.
VASP energy ... -4.19 eV/atom

=====

# 3
Computed, not measured: a relaxed structure of ReNi2Pt at the PBE level of DFT.

Cell: 2.677 4.608 4.424 Å, 90.00 90.00 90.00°
Fractional coordinates of all 4 atoms:
Re 0.000 0.500 0.500
Ni 0.000 0.000 0.000
Ni 0.500 0.500 0.000
Pt 0.500 0.000 0.500

Output
D(E_F) ... 1.5374 states/eV/atom
DFT formation energy ... 0.22 eV/atom
SG ... Pmmm, No. 47
Crystal system ... orthorhombic
M_tot ... 1.1 μB/f.u.
VASP energy ... -7.29 eV/atom
Energy above the most stable polymorph in this dataset ... 0.306 eV per atom

=====

# 4
Computed, not measured: a relaxed structure of FeHgW at the PBE level of DFT.

Cell: 2.807 4.242 8.474 Å, 90.00 92.96 90.00°
Fractional coordinates of all 6 atoms:
Fe 0.533 0.750 0.679
Fe 0.467 0.250 0.321
Hg 0.716 0.250 0.898
Hg 0.284 0.750 0.102
W 0.164 0.250 0.584
W 0.836 0.750 0.416

Output
D(E_F) ... 0.8380 states/eV/atom
DFT formation energy ... 0.44 eV/atom
SG ... P2_1/m, No. 11
Crystal system ... monoclinic
M_tot ... 0.0 μB/f.u.
VASP energy ... -6.80 eV/atom
Energy above the most stable polymorph in this dataset ... 0.167 eV per atom

=====

# 5
Computed, not measured: a relaxed structure of CoPt2W2 at the PBE level of DFT.

Cell: 7.035 7.035 7.035 Å, 150.18 150.18 42.68°
Fractional coordinates of all 5 atoms:
Pt 0.403 0.403 0.000
Pt 0.597 0.597 0.000
W 0.250 0.750 0.500
W 0.750 0.250 0.500
Co 0.000 0.000 0.000

Output
D(E_F) ... 1.2267 states/eV/atom
DFT formation energy ... 0.52 eV/atom
SG ... I4/mmm, No. 139
Crystal system ... tetragonal
M_tot ... 2.1 μB/f.u.
VASP energy ... -8.50 eV/atom

=====

# 6
Computed, not measured: a relaxed structure of La2AsBr at the PBE level of DFT.

Cell: 9.713 9.713 9.713 Å, 26.17 26.17 26.17°
Fractional coordinates of all 4 atoms:
As 0.519 0.519 0.519
La 0.012 0.012 0.012
La 0.232 0.232 0.232
Br 0.738 0.738 0.738

Output
D(E_F) ... 0.5762 states/eV/atom
SG ... R3m, No. 160
Crystal system ... trigonal
M_tot ... 1.9 μB/f.u.
Raw formation energy ... -0.71 eV/atom
VASP energy ... -4.75 eV/atom

=====

# 7
Computed, not measured: a relaxed structure of SiBAuC at the PBE level of DFT.

Cell: 2.755 2.755 7.729 Å, 90.00 90.00 120.00°
Fractional coordinates of all 4 atoms:
C 0.000 0.000 0.557
B 0.333 0.667 0.547
Si 0.000 0.000 0.812
Au 0.000 0.000 0.165

Output
D(E_F) ... 0.2744 states/eV/atom
SG ... P3m1, No. 156
Crystal system ... trigonal
M_tot ... 0.0 μB/f.u.
Raw formation energy ... 0.22 eV/atom
VASP energy ... -5.93 eV/atom
Energy above the most stable polymorph in this dataset ... 0.011 eV per atom

=====

# 8
Computed, not measured: a relaxed structure of NbTe2AsI at the PBE level of DFT.

Cell: 5.455 5.455 5.369 Å, 90.00 90.00 90.00°
Fractional coordinates of all 5 atoms:
As 0.000 0.000 0.000
Te 0.000 0.500 0.000
Te 0.500 0.000 0.000
Nb 0.500 0.500 0.500
I 0.000 0.000 0.500

Output
D(E_F) ... 1.0570 states/eV/atom
SG ... P4/mmm, No. 123
Crystal system ... tetragonal
M_tot ... 2.6 μB/f.u.
Raw formation energy ... 0.94 eV/atom
VASP energy ... -3.57 eV/atom
Energy above the most stable polymorph in this dataset ... 0.449 eV per atom

=====

# 9
Computed, not measured: a relaxed structure of Ca3Mg at the PBE level of DFT.

Cell: 7.507 6.068 6.353 Å, 90.00 90.00 90.00°
Fractional coordinates of all 8 atoms:
Ca 0.251 0.500 0.828
Ca 0.000 0.500 0.346
Ca 0.500 0.000 0.654
Ca 0.249 0.000 0.172
Ca 0.749 0.500 0.828
Ca 0.751 0.000 0.172
Mg 0.500 0.500 0.318
Mg 0.000 0.000 0.682

Output
D(E_F) ... 1.1166 states/eV/atom
DFT formation energy ... -0.01 eV/atom
SG ... Pmmn, No. 59
Crystal system ... orthorhombic
M_tot ... 0.0 μB/f.u.
VASP energy ... -1.91 eV/atom

=====

# 10
Computed, not measured: a relaxed structure of DyZr2Cu at the PBE level of DFT.

Cell: 3.293 3.293 8.054 Å, 90.00 90.00 90.00°
Fractional coordinates of all 4 atoms:
Zr 0.000 0.000 0.207
Zr 0.000 0.000 0.793
Dy 0.500 0.500 0.500
Cu 0.500 0.500 0.000

Output
D(E_F) ... 1.3242 states/eV/atom
DFT formation energy ... 0.02 eV/atom
SG ... P4/mmm, No. 123
Crystal system ... tetragonal
M_tot ... 0.0 μB/f.u.
VASP energy ... -6.43 eV/atom
Energy above the most stable polymorph in this dataset ... 0.000 eV per atom

=====

# 11
Computed, not measured: a relaxed structure of ReGe2Se2 at the PBE level of DFT.

Cell: 3.457 3.457 9.773 Å, 79.81 79.81 90.00°
Fractional coordinates of all 5 atoms:
Re 0.000 0.000 0.000
Ge 0.430 0.430 0.140
Ge 0.570 0.570 0.860
Se 0.250 0.750 0.500
Se 0.750 0.250 0.500

Output
D(E_F) ... 1.1357 states/eV/atom
SG ... I4/mmm, No. 139
Crystal system ... tetragonal
M_tot ... 0.0 μB/f.u.
Raw formation energy ... 0.66 eV/atom
VASP energy ... -5.07 eV/atom
Energy above the most stable polymorph in this dataset ... 0.037 eV per atom

=====

# 12
Computed, not measured: a relaxed structure of ScMnGe2Pb at the PBE level of DFT.

Cell: 5.376 4.972 5.376 Å, 90.00 90.00 90.00°
Fractional coordinates of all 5 atoms:
Ge 0.000 0.000 0.500
Ge 0.500 0.000 0.000
Pb 0.000 0.000 0.000
Mn 0.000 0.500 0.000
Sc 0.500 0.500 0.500

Output
D(E_F) ... 1.3514 states/eV/atom
DFT formation energy ... 1.05 eV/atom
SG ... P4/mmm, No. 123
Crystal system ... tetragonal
M_tot ... 3.4 μB/f.u.
VASP energy ... -4.64 eV/atom